First-principles (PBE-GGA) data for a relaxed CdBi3O7 crystal, as listed in the Alexandria database.

Properties
The total DFT energy (no corrections) comes out at -5.108 eV/atom. The calculation puts the total moment at 0.0 μB/f.u.

abc: 6.679 3.902 13.448
angles: 90.00 91.47 90.00
Space group Cm (No. 8)
One atom of each set of equivalent atoms:
Cd1 0.000 0.000 0.000 x2
Bi1 0.176 0.500 0.242 x2
Bi2 0.318 0.000 0.780 x2
Bi3 0.356 0.000 0.471 x2
O1 0.006 0.000 0.163 x2
O2 0.025 0.000 0.496 x2
O3 0.154 0.500 0.801 x2
O4 0.185 0.500 0.412 x2
O5 0.333 0.000 0.955 x2
O6 0.344 0.000 0.302 x2
O7 0.388 0.000 0.629 x2


First-principles (PBE-GGA) data for a relaxed Cd3BiO crystal, as listed in the Alexandria database.

Properties
The total DFT energy (no corrections) comes out at -1.574 eV/atom. The calculation puts the total moment at 0.0 μB/f.u. The calculation puts the offset from the most stable computed form at 936.4 meV/atom.

abc: 5.808 5.808 5.808
angles: 90.00 90.00 90.00
Space group Pm-3m (No. 221)
One atom of each set of equivalent atoms:
Cd1 0.000 0.000 0.500 x3
Bi1 0.000 0.000 0.000 x1
O1 0.500 0.500 0.500 x1


First-principles (PBE-GGA) data for a relaxed Cd2BiO2 crystal, as listed in the Alexandria database.

Properties
The total DFT energy (no corrections) comes out at -3.206 eV/atom. The calculation puts the total moment at 0.0 μB/f.u. The calculation puts the offset from the most stable computed form at 383.5 meV/atom.

abc: 7.502 7.502 3.115
angles: 90.00 90.00 90.00
Space group P4/mbm (No. 127)
One atom of each set of equivalent atoms:
Cd1 0.128 0.372 0.000 x4
Bi1 0.000 0.000 0.000 x2
O1 0.134 0.634 0.500 x4


First-principles (PBE-GGA) data for a relaxed Cd2BiO2 crystal, as listed in the Alexandria database.

Properties
The total DFT energy (no corrections) comes out at -3.579 eV/atom. The calculation puts the total moment at 0.0 μB/f.u. The calculation puts the offset from the most stable computed form at 10.1 meV/atom.

abc: 7.044 7.044 3.908
angles: 90.00 90.00 90.00
Space group P4/mbm (No. 127)
One atom of each set of equivalent atoms:
Cd1 0.135 0.365 0.000 x4
Bi1 0.000 0.000 0.500 x2
O1 0.249 0.749 0.500 x4


First-principles (PBE-GGA) data for a relaxed CdBi3O crystal, as listed in the Alexandria database.

Properties
The total DFT energy (no corrections) comes out at -2.384 eV/atom. The calculation puts the total moment at 0.0 μB/f.u. The calculation puts the offset from the most stable computed form at 1178.5 meV/atom.

abc: 5.629 5.629 5.629
angles: 90.00 90.00 90.00
Space group Pm-3m (No. 221)
One atom of each set of equivalent atoms:
Cd1 0.000 0.000 0.000 x1
Bi1 0.000 0.000 0.500 x3
O1 0.500 0.500 0.500 x1


First-principles (PBE-GGA) data for a relaxed Cd2BiO4 crystal, as listed in the Alexandria database.

Properties
The total DFT energy (no corrections) comes out at -4.660 eV/atom. The calculation puts the total moment at 0.0 μB/f.u. The calculation puts the offset from the most stable computed form at 0.0 meV/atom.

abc: 12.496 3.663 5.639
angles: 90.00 109.52 90.00
Space group C2/m (No. 12)
One atom of each set of equivalent atoms:
Cd1 0.147 0.000 0.056 x4
Bi1 0.000 0.500 0.500 x2
O1 0.050 0.000 0.313 x4
O2 0.159 0.500 0.832 x4


First-principles (PBE-GGA) data for a relaxed Cd4Bi2O9 crystal, as listed in the Alexandria database.

Properties
The total DFT energy (no corrections) comes out at -4.704 eV/atom. The calculation puts the total moment at 0.0 μB/f.u.

abc: 5.7692 5.7692 15.1751
angles: 90.00 90.00 120.00
Space group P-3c1 (No. 165)
One atom of each set of equivalent atoms:
Cd1 0.3333 0.6667 0.1937 x4
Cd2 0.3333 0.6667 0.4766 x4
Bi1 0.0000 0.0000 0.1433 x4
O1 0.0000 0.2736 0.2500 x6
O2 0.0352 0.3501 0.5866 x12


First-principles (PBE-GGA) data for a relaxed CdBiO2 crystal, as listed in the Alexandria database.

Properties
The total DFT energy (no corrections) comes out at -4.460 eV/atom. The calculation puts the total moment at 0.0 μB/f.u. The calculation puts the offset from the most stable computed form at 13.2 meV/atom.

abc: 3.6531 3.6531 20.5071
angles: 90.00 90.00 120.00
Space group R-3m (No. 166, hexagonal axes)
One atom of each set of equivalent atoms:
Cd1 0.0000 0.0000 0.0000 x3
Bi1 0.0000 0.0000 0.5000 x3
O1 0.0000 0.0000 0.1084 x6


First-principles (PBE-GGA) data for a relaxed CdBiO2 crystal, as listed in the Alexandria database.

Properties
The total DFT energy (no corrections) comes out at -4.473 eV/atom. The calculation puts the total moment at 0.0 μB/f.u. The calculation puts the offset from the most stable computed form at 0.0 meV/atom.

abc: 5.201 5.201 11.462
angles: 90.00 90.00 90.00
Space group I-42d (No. 122)
One atom of each set of equivalent atoms:
Cd1 0.000 0.000 0.000 x4
Bi1 0.000 0.000 0.500 x4
O1 0.244 0.250 0.125 x8


First-principles (PBE-GGA) data for a relaxed CdBiO crystal, as listed in the Alexandria database.

Properties
The total DFT energy (no corrections) comes out at -3.665 eV/atom. The calculation puts the total moment at 0.0 μB/f.u. The calculation puts the offset from the most stable computed form at 0.0 meV/atom.

abc: 16.808 4.903 6.914
angles: 90.00 109.22 90.00
Space group C2/m (No. 12)
One atom of each set of equivalent atoms:
Cd1 0.018 0.000 0.279 x4
Cd2 0.200 0.000 0.883 x4
Bi1 0.110 0.500 0.060 x4
Bi2 0.194 0.500 0.528 x4
O1 0.091 0.000 0.608 x4
O2 0.094 0.000 0.051 x4


First-principles (PBE-GGA) data for a relaxed Cd2BiO2 crystal, as listed in the Alexandria database.

Properties
The total DFT energy (no corrections) comes out at -3.589 eV/atom. The calculation puts the total moment at 0.0 μB/f.u. The calculation puts the offset from the most stable computed form at 0.0 meV/atom.

abc: 4.474 4.474 11.809
angles: 90.00 90.00 90.00
Space group I4/mmm (No. 139)
One atom of each set of equivalent atoms:
Cd1 0.000 0.500 0.250 x4
Bi1 0.000 0.000 0.000 x2
O1 0.000 0.000 0.212 x4


First-principles (PBE-GGA) data for a relaxed Cd2BiO2 crystal, as listed in the Alexandria database.

Properties
The total DFT energy (no corrections) comes out at -3.512 eV/atom. The calculation puts the total moment at 0.0 μB/f.u. The calculation puts the offset from the most stable computed form at 77.1 meV/atom.

abc: 4.184 4.184 10.049
angles: 90.00 90.00 90.00
Space group I4/mmm (No. 139)
One atom of each set of equivalent atoms:
Cd1 0.000 0.000 0.154 x4
Bi1 0.000 0.000 0.500 x2
O1 0.000 0.500 0.250 x4


First-principles (PBE-GGA) data for a relaxed Cd4BiO5 crystal, as listed in the Alexandria database.

Properties
The total DFT energy (no corrections) comes out at -4.162 eV/atom. The calculation puts the total moment at 0.0 μB/f.u.

abc: 7.771 7.771 4.887
angles: 90.00 90.00 90.00
Space group I4 (No. 79)
One atom of each set of equivalent atoms:
Cd1 0.098 0.693 0.000 x8
Bi1 0.000 0.000 0.500 x2
O1 0.000 0.000 0.960 x2
O2 0.104 0.703 0.500 x8


First-principles (PBE-GGA) data for a relaxed CdBiO2 crystal, as listed in the Alexandria database.

Properties
The total DFT energy (no corrections) comes out at -4.152 eV/atom. The calculation puts the total moment at 0.0 μB/f.u. The calculation puts the offset from the most stable computed form at 321.5 meV/atom.

abc: 6.195 6.195 6.195
angles: 90.00 90.00 90.00
Space group Fm-3m (No. 225)
One atom of each set of equivalent atoms:
Cd1 0.000 0.000 0.000 x4
Bi1 0.000 0.000 0.500 x4
O1 0.250 0.250 0.250 x8


First-principles (PBE-GGA) data for a relaxed CdBiO crystal, as listed in the Alexandria database.

Properties
The total DFT energy (no corrections) comes out at -3.643 eV/atom. The calculation puts the total moment at 0.0 μB/f.u. The calculation puts the offset from the most stable computed form at 22.3 meV/atom.

abc: 3.4344 3.4344 5.8062
angles: 90.00 90.00 120.00
Space group P3m1 (No. 156)
One atom of each set of equivalent atoms:
Cd1 0.0000 0.0000 0.0000 x1
Bi1 0.3333 0.6667 0.5370 x1
O1 0.6667 0.3333 0.2149 x1


First-principles (PBE-GGA) data for a relaxed CdBi2O crystal, as listed in the Alexandria database.

Properties
The total DFT energy (no corrections) comes out at -3.604 eV/atom. The calculation puts the total moment at 0.0 μB/f.u. The calculation puts the offset from the most stable computed form at 0.0 meV/atom.

abc: 5.687 5.687 14.313
angles: 90.00 90.00 90.00
Space group I-42d (No. 122)
One atom of each set of equivalent atoms:
Cd1 0.000 0.000 0.000 x4
Bi1 0.128 0.250 0.625 x8
O1 0.000 0.000 0.500 x4


First-principles (PBE-GGA) data for a relaxed Cd3BiO crystal, as listed in the Alexandria database.

Properties
The total DFT energy (no corrections) comes out at -2.510 eV/atom. The calculation puts the total moment at 0.0 μB/f.u. The calculation puts the offset from the most stable computed form at 0.0 meV/atom.

abc: 4.779 4.779 4.779
angles: 90.00 90.00 90.00
Space group Pm-3m (No. 221)
One atom of each set of equivalent atoms:
Cd1 0.000 0.000 0.500 x3
Bi1 0.500 0.500 0.500 x1
O1 0.000 0.000 0.000 x1


First-principles (PBE-GGA) data for a relaxed Cd2Bi3O8 crystal, as listed in the Alexandria database.

Properties
The total DFT energy (no corrections) comes out at -5.039 eV/atom. The calculation puts the total moment at 0.0 μB/f.u.

abc: 10.754 6.876 5.958
angles: 90.00 99.50 90.00
Space group C2/m (No. 12)
One atom of each set of equivalent atoms:
Cd1 0.198 0.000 0.071 x4
Bi1 0.000 0.244 0.500 x4
Bi2 0.000 0.500 0.000 x2
O1 0.102 0.000 0.371 x4
O2 0.108 0.500 0.331 x4
O3 0.121 0.285 0.872 x8


First-principles (PBE-GGA) data for a relaxed Cd2BiO4 crystal, as listed in the Alexandria database.

Properties
The total DFT energy (no corrections) comes out at -4.654 eV/atom. The calculation puts the total moment at 0.0 μB/f.u. The calculation puts the offset from the most stable computed form at 5.8 meV/atom.

abc: 5.738 10.689 3.478
angles: 90.00 90.00 90.00
Space group Pbam (No. 55)
One atom of each set of equivalent atoms:
Cd1 0.025 0.200 0.000 x4
Bi1 0.000 0.500 0.500 x2
O1 0.201 0.417 0.000 x4
O2 0.213 0.676 0.500 x4


First-principles (PBE-GGA) data for a relaxed CdBi3O crystal, as listed in the Alexandria database.

Properties
The total DFT energy (no corrections) comes out at -3.562 eV/atom. The calculation puts the total moment at 0.0 μB/f.u. The calculation puts the offset from the most stable computed form at 0.0 meV/atom.

abc: 5.018 5.018 5.018
angles: 90.00 90.00 90.00
Space group Pm-3m (No. 221)
One atom of each set of equivalent atoms:
Cd1 0.000 0.000 0.000 x1
Bi1 0.000 0.500 0.500 x3
O1 0.500 0.500 0.500 x1


Here are the calculated raw formation energy numbers, same order: -0.811, 0.743, -0.080, -0.454, 1.119, -1.011, -0.967, -0.782, -0.795, -0.414, -0.464, -0.387, -0.929, -0.474, -0.391, -0.196, -0.194, -0.952, -1.005, -0.059 (eV per atom).